(1)
A plane-wave DFT calculation with PBE was carried out for a relaxed structure of Al12V6Ga.

Summary:
Total DFT energy (no corrections), eV per atom: -5.20
Calculated formation energy, eV/atom: 0.2076

a = 11.7775 Å, b = 11.7775 Å, c = 8.0087 Å
α = 90.00°, β = 90.00°, γ = 120.00°
Closest atoms and distances in Å follow each position.
Space group R-3m (No. 166, hexagonal axes)
Inequivalent atoms, fractional coordinates:
Al (0.0000, 0.3877, 0.0000) (multiplicity 18)  5 Al 2.64-2.89, 4 V 2.72-2.81
Al (0.0796, 0.1591, 0.7485) (multiplicity 18)  3 V 2.53-2.76, 1 Ga 2.57, 4 Al 2.67-2.81
V (0.0871, 0.5435, 0.7116) (multiplicity 18)  7 Al 2.53-2.81, 2 V 2.61
Ga (0.0000, 0.0000, 0.5000) (multiplicity 3)  6 Al 2.57

=====

(2)
A plane-wave DFT calculation with PBE was carried out for a relaxed structure of Li3In3Pd2Au.

Summary:
Total DFT energy (no corrections), eV per atom: -3.56
Calculated formation energy, eV/atom: -0.4906

a = 7.7461 Å, b = 7.7461 Å, c = 3.0117 Å
α = 90.00°, β = 90.00°, γ = 120.00°
Closest atoms and distances in Å follow each position.
Space group P-62m (No. 189)
Inequivalent atoms, fractional coordinates:
Li (0.0000, 0.7104, 0.0000) (multiplicity 3)  2 Au 2.70, 2 Pd 2.77, 2 In 2.99, 2 Li 3.01
In (0.0000, 0.3766, 0.5000) (multiplicity 3)  4 Pd 2.86, 1 Au 2.92, 6 Li 2.99-3.04, 2 In 3.01
Pd (0.3333, 0.6667, 0.0000) (multiplicity 2)  3 Li 2.77, 6 In 2.86, 2 Pd 3.01
Au (0.0000, 0.0000, 0.5000) (multiplicity 1)  6 Li 2.70, 3 In 2.92, 2 Au 3.01

=====

(3)
A plane-wave DFT calculation with PBE was carried out for a relaxed structure of BaGaTcO2.

Summary:
Raw formation energy, eV per atom: -0.80
Total DFT energy (no corrections), eV per atom: -5.85

a = 4.1785 Å, b = 4.1785 Å, c = 4.8990 Å
α = 90.00°, β = 90.00°, γ = 90.00°
Closest atoms and distances in Å follow each position.
Space group P4/mmm (No. 123)
Inequivalent atoms, fractional coordinates:
Ba (0.0000, 0.0000, 0.0000) (multiplicity 1)  4 Ga 2.95, 8 O 3.22
Ga (0.5000, 0.5000, 0.0000) (multiplicity 1)  2 Tc 2.45
Tc (0.5000, 0.5000, 0.5000) (multiplicity 1)  4 O 2.09
O (0.0000, 0.5000, 0.5000) (multiplicity 2)  2 Tc 2.09

=====

(4)
A plane-wave DFT calculation with PBE was carried out for a relaxed structure of LiLaO3.

Summary:
Raw formation energy, eV per atom: -1.50
Total DFT energy (no corrections), eV per atom: -5.85

a = 4.3491 Å, b = 4.3491 Å, c = 4.3491 Å
α = 90.00°, β = 90.00°, γ = 90.00°
Closest atoms and distances in Å follow each position.
Space group Pm-3m (No. 221)
Inequivalent atoms, fractional coordinates:
Li (0.0000, 0.0000, 0.0000) (multiplicity 1)  12 O 3.08
La (0.5000, 0.5000, 0.5000) (multiplicity 1)  6 O 2.17
O (0.0000, 0.5000, 0.5000) (multiplicity 3)  2 La 2.17

=====

(5)
A plane-wave DFT calculation with PBE was carried out for a relaxed structure of LiAsCl2.

Summary:
Raw formation energy, eV per atom: 0.05
Total DFT energy (no corrections), eV per atom: -2.51
Energy above the lowest structure with this stoichiometry, meV/atom: 931

a = 7.0264 Å, b = 7.0264 Å, c = 7.0264 Å
α = 90.00°, β = 90.00°, γ = 90.00°
Closest atoms and distances in Å follow each position.
Space group F-43m (No. 216)
Inequivalent atoms, fractional coordinates:
Li (0.0000, 0.0000, 0.0000) (multiplicity 4)  4 As 3.04, 4 Cl 3.04
As (0.2500, 0.2500, 0.7500) (multiplicity 4)  4 Cl 3.04, 4 Li 3.04
Cl (0.0000, 0.0000, 0.5000) (multiplicity 4)  4 Cl 3.04, 4 As 3.04
Cl (0.2500, 0.2500, 0.2500) (multiplicity 4)  4 Li 3.04, 4 Cl 3.04

=====

(6)
A plane-wave DFT calculation with PBE was carried out for a relaxed structure of ZrZnAg.

Summary:
Total DFT energy (no corrections), eV per atom: -4.27
Calculated formation energy, eV/atom: -0.0435

a = 2.9032 Å, b = 4.3803 Å, c = 8.6652 Å
α = 90.00°, β = 90.00°, γ = 90.00°
Closest atoms and distances in Å follow each position.
Space group Imm2 (No. 44)
Inequivalent atoms, fractional coordinates:
Zr (0.0000, 0.0000, 0.0000) (multiplicity 2)  5 Ag 2.83-3.02, 2 Zr 2.90, 5 Zn 2.94-2.97
Zn (0.0000, 0.0000, 0.3390) (multiplicity 2)  5 Ag 2.89-3.00, 2 Zn 2.90, 5 Zr 2.94-2.97
Ag (0.0000, 0.0000, 0.6730) (multiplicity 2)  5 Zr 2.83-3.02, 5 Zn 2.89-3.00, 2 Ag 2.90

=====

(7)
A plane-wave DFT calculation with PBE was carried out for a relaxed structure of Ga2SnSb.

Summary:
Raw formation energy, eV per atom: 0.08
Total DFT energy (no corrections), eV per atom: -3.47
Energy above the lowest structure with this stoichiometry, meV/atom: 77

a = 3.8039 Å, b = 3.8039 Å, c = 6.5450 Å
α = 90.00°, β = 90.00°, γ = 90.00°
Closest atoms and distances in Å follow each position.
Space group P4/mmm (No. 123)
Inequivalent atoms, fractional coordinates:
Ga (0.0000, 0.0000, 0.2345) (multiplicity 2)  1 Ga 3.07, 4 Sb 3.10, 4 Sn 3.20
Sn (0.5000, 0.5000, 0.5000) (multiplicity 1)  8 Ga 3.20, 2 Sb 3.27
Sb (0.5000, 0.5000, 0.0000) (multiplicity 1)  8 Ga 3.10, 2 Sn 3.27

=====

(8)
A plane-wave DFT calculation with PBE was carried out for a relaxed structure of NbB2CO.

Summary:
Raw formation energy, eV per atom: 1.12
Total DFT energy (no corrections), eV per atom: -6.40

a = 3.1099 Å, b = 3.1099 Å, c = 5.0936 Å
α = 90.00°, β = 90.00°, γ = 90.00°
Closest atoms and distances in Å follow each position.
Space group P4/mmm (No. 123)
Inequivalent atoms, fractional coordinates:
Nb (0.0000, 0.0000, 0.0000) (multiplicity 1)  4 C 2.20
B (0.0000, 0.5000, 0.5000) (multiplicity 2)  2 O 1.55
C (0.5000, 0.5000, 0.0000) (multiplicity 1)  4 Nb 2.20
O (0.5000, 0.5000, 0.5000) (multiplicity 1)  4 B 1.55